A relaxed structure of Tl5NiSe4. Source: the Alexandria database, functional PBE.

Computed properties:
Crystal system: monoclinic
Space-group type: C2/m (12)
Electronic total energy in eV/atom: -3.3905
Total magnetization in μB/cell: 0.0

```
10
Lattice="9.119 -2.021 0.000 9.119 2.021 0.000 -1.835 0.000 7.808" Properties=species:S:1:pos:R:3 pbc="T T T"
Tl 0.000 0.000 0.000
Tl 5.504 0.000 1.331
Tl 4.798 0.000 5.510
Tl 11.606 0.000 2.298
Tl 10.900 0.000 6.477
Ni -0.917 0.000 3.904
Se 1.515 0.000 4.246
Se 8.425 0.000 2.317
Se 7.979 0.000 5.491
Se 14.889 0.000 3.562
```


A relaxed structure of TlNiSe. Source: the Alexandria database, functional PBE.

Computed properties:
Crystal system: tetragonal
Space-group type: I4mm (107)
Electronic total energy in eV/atom: -3.9303
Total magnetization in μB/cell: 0.0

```
6
Lattice="3.243 0.000 0.000 0.000 3.243 0.000 0.000 0.000 12.920" Properties=species:S:1:pos:R:3 pbc="T T T"
Tl 0.000 0.000 0.000
Tl 1.622 1.622 6.460
Ni 0.000 0.000 3.994
Ni 1.622 1.622 10.454
Se 0.000 0.000 9.703
Se 1.622 1.622 3.243
```


A relaxed structure of Tl2Ni3Se6. Source: the Alexandria database, functional PBE.

Computed properties:
Crystal system: monoclinic
Space-group type: C2/m (12)
Electronic total energy in eV/atom: -4.1696
Total magnetization in μB/cell: 0.0

```
11
Lattice="3.145 -5.438 0.000 3.145 5.438 0.000 -2.065 0.000 7.376" Properties=species:S:1:pos:R:3 pbc="T T T"
Tl 3.145 3.621 0.000
Tl 3.145 -3.621 0.000
Ni -1.033 0.000 3.688
Ni 2.113 1.832 3.688
Ni 2.113 -1.832 3.688
Se 0.014 1.815 4.944
Se 1.060 0.000 2.480
Se 0.014 -1.815 4.944
Se 4.212 1.815 2.432
Se 3.165 0.000 4.896
Se 4.212 -1.815 2.432
```


A relaxed structure of TlNiSe. Source: the Alexandria database, functional PBE.

Computed properties:
Crystal system: cubic
Space-group type: F-43m (216)
Electronic total energy in eV/atom: -3.2538
Total magnetization in μB/cell: 1.4

```
12
Lattice="6.567 0.000 0.000 0.000 6.567 0.000 0.000 0.000 6.567" Properties=species:S:1:pos:R:3 pbc="T T T"
Tl 0.000 0.000 0.000
Tl 0.000 3.283 3.283
Tl 3.283 0.000 3.283
Tl 3.283 3.283 0.000
Ni 1.642 1.642 1.642
Ni 1.642 4.925 4.925
Ni 4.925 1.642 4.925
Ni 4.925 4.925 1.642
Se 1.642 1.642 4.925
Se 1.642 4.925 1.642
Se 4.925 1.642 1.642
Se 4.925 4.925 4.925
```


A relaxed structure of TlNiSe. Source: the Alexandria database, functional PBE.

Computed properties:
Crystal system: trigonal
Space-group type: P3m1 (156)
Electronic total energy in eV/atom: -4.0653
Total magnetization in μB/cell: 0.0

```
3
Lattice="3.957 0.000 0.000 -1.979 3.427 0.000 0.000 0.000 5.236" Properties=species:S:1:pos:R:3 pbc="T T T"
Tl 0.000 0.000 0.000
Ni 0.000 2.285 2.610
Se 1.979 1.142 2.616
```


A relaxed structure of TlNiSe. Source: the Alexandria database, functional PBE.

Computed properties:
Crystal system: tetragonal
Space-group type: P4/nmm (129)
Electronic total energy in eV/atom: -4.0825
Total magnetization in μB/cell: 0.0

```
6
Lattice="4.005 0.000 0.000 0.000 4.005 0.000 0.000 0.000 8.381" Properties=species:S:1:pos:R:3 pbc="T T T"
Tl 1.001 1.001 1.335
Tl 3.004 3.004 7.047
Ni 1.001 3.004 4.191
Ni 3.004 1.001 4.191
Se 1.001 1.001 5.529
Se 3.004 3.004 2.852
```


A relaxed structure of TlNiSe4. Source: the Alexandria database, functional PBE.

Computed properties:
Crystal system: triclinic
ΔE to the lowest computed polymorph in eV/atom: 0.0000
Space-group type: P-1 (2)
Electronic total energy in eV/atom: -3.7924
Total magnetization in μB/cell: 0.0

```
12
Lattice="6.615 0.000 0.000 -3.237 6.020 0.000 -0.952 -2.697 8.164" Properties=species:S:1:pos:R:3 pbc="T T T"
Tl -0.201 -0.002 2.717
Tl 2.627 3.325 5.447
Ni -0.254 5.398 1.604
Ni 2.680 -2.075 6.560
Se -1.753 4.262 0.068
Se -0.631 2.731 4.565
Se -0.286 1.882 7.693
Se 1.784 -0.213 5.439
Se 0.643 3.536 2.725
Se 2.713 1.441 0.471
Se 3.057 0.592 3.599
Se 4.179 -0.939 8.096
```


A relaxed structure of TlNiSe4. Source: the Alexandria database, functional PBE.

Computed properties:
Crystal system: cubic
ΔE to the lowest computed polymorph in eV/atom: 0.7443
Space-group type: F-43m (216)
Electronic total energy in eV/atom: -3.0482
Total magnetization in μB/cell: 1.0

```
6
Lattice="0.000 4.107 4.107 4.107 0.000 4.107 4.107 4.107 0.000" Properties=species:S:1:pos:R:3 pbc="T T T"
Tl 0.000 0.000 0.000
Ni 6.161 6.161 6.161
Se 3.091 3.091 3.091
Se 5.123 5.123 3.091
Se 5.123 3.091 5.123
Se 3.091 5.123 5.123
```


A relaxed structure of Tl2Ni3Se4. Source: the Alexandria database, functional PBE.

Computed properties:
Crystal system: orthorhombic
Space-group type: Fmmm (69)
Electronic total energy in eV/atom: -4.3147
Total magnetization in μB/cell: 0.0

```
9
Lattice="0.000 5.306 6.499 3.040 0.000 6.499 3.040 5.306 0.000" Properties=species:S:1:pos:R:3 pbc="T T T"
Tl 3.040 5.306 1.801
Tl 3.040 5.306 11.196
Ni 1.520 2.653 0.000
Ni 1.520 2.653 6.499
Ni 3.040 5.306 6.499
Se 3.040 3.551 4.954
Se 3.040 3.551 8.043
Se 3.040 7.061 4.954
Se 3.040 7.061 8.043
```


A relaxed structure of TlNiSe. Source: the Alexandria database, functional PBE.

Computed properties:
Crystal system: monoclinic
Space-group type: Cm (8)
Electronic total energy in eV/atom: -4.0127
Total magnetization in μB/cell: 0.0

```
6
Lattice="6.802 0.000 0.000 0.000 3.929 0.000 -0.011 0.000 5.504" Properties=species:S:1:pos:R:3 pbc="T T T"
Tl 0.000 0.000 0.000
Tl 3.401 1.965 0.000
Ni -0.005 0.000 2.831
Ni 3.396 1.965 2.831
Se 1.128 1.965 2.381
Se 4.529 0.000 2.381
```


A relaxed structure of TlNiSe. Source: the Alexandria database, functional PBE.

Computed properties:
Crystal system: cubic
Space-group type: F-43m (216)
Electronic total energy in eV/atom: -3.8124
Total magnetization in μB/cell: 0.0

```
12
Lattice="6.305 0.000 0.000 0.000 6.305 0.000 0.000 0.000 6.305" Properties=species:S:1:pos:R:3 pbc="T T T"
Tl 0.000 0.000 0.000
Tl 0.000 3.153 3.153
Tl 3.153 0.000 3.153
Tl 3.153 3.153 0.000
Ni 1.576 1.576 4.729
Ni 1.576 4.729 1.576
Ni 4.729 1.576 1.576
Ni 4.729 4.729 4.729
Se 0.000 0.000 3.153
Se 0.000 3.153 0.000
Se 3.153 0.000 0.000
Se 3.153 3.153 3.153
```


A relaxed structure of U2Tl3NiSe6. Source: the Alexandria database, functional PBE.

Computed properties:
Crystal system: monoclinic
Space-group type: C2/m (12)
Electronic total energy in eV/atom: -5.3689
Total magnetization in μB/cell: 5.3

```
12
Lattice="3.476 -5.993 0.000 3.476 5.993 0.000 -2.347 0.000 7.929" Properties=species:S:1:pos:R:3 pbc="T T T"
U 3.476 4.015 0.000
U 3.476 -4.015 0.000
Tl -1.174 0.000 3.964
Tl 2.302 2.079 3.964
Tl 2.302 -2.079 3.964
Ni 3.476 0.000 0.000
Se 0.049 1.880 6.401
Se 1.243 0.000 1.612
Se 0.049 -1.880 6.401
Se 4.556 1.880 1.528
Se 3.361 0.000 6.317
Se 4.556 -1.880 1.528
```